# 1
Compound: Mg2AlCu
Source: the Alexandria database
Functional: PBE
Structure: optimized geometry

Computed properties:
* N(E_F): 0.79 states/eV per cell
* space group: I4/mmm
* calculated formation energy: 0.00 eV/atom

Lattice parameters (Å, degrees): 5.1180 5.1180 5.1180 133.60 133.60 67.72
Last column: nearest neighbours and their distance in Å.
Positions (direct):
Mg  0.2500  0.7500  0.5000  4 Mg 2.85, 4 Cu 2.93, 4 Al 2.93
Mg  0.7500  0.2500  0.5000  4 Mg 2.85, 4 Cu 2.93, 4 Al 2.93
Al  0.0000  0.0000  0.0000  4 Cu 2.85, 8 Mg 2.93
Cu  0.5000  0.5000  0.0000  4 Al 2.85, 8 Mg 2.93

=====

# 2
Compound: Mg2AlCu2
Source: the Alexandria database
Functional: PBE
Structure: optimized geometry

Computed properties:
* N(E_F): 3.21 states/eV per cell
* space group: C2/c
* calculated formation energy: -0.14 eV/atom

Lattice parameters (Å, degrees): 5.1598 5.1598 7.5007 102.81 102.81 59.03
Last column: nearest neighbours and their distance in Å.
Positions (direct):
Mg  0.0163  0.2965  0.1526  6 Cu 2.74-2.89, 2 Al 2.97-2.99
Mg  0.2965  0.0163  0.6526  6 Cu 2.74-2.89, 2 Al 2.97-2.99
Mg  0.7035  0.9837  0.3474  6 Cu 2.74-2.89, 2 Al 2.97-2.99
Mg  0.9837  0.7035  0.8474  6 Cu 2.74-2.89, 2 Al 2.97-2.99
Al  0.3325  0.6675  0.2500  4 Cu 2.45-2.48
Al  0.6675  0.3325  0.7500  4 Cu 2.45-2.48
Cu  0.2306  0.5147  0.5024  2 Al 2.45-2.48, 2 Cu 2.45-2.71, 1 Mg 2.74
Cu  0.4853  0.7694  0.9976  2 Al 2.45-2.48, 2 Cu 2.45-2.71, 1 Mg 2.74
Cu  0.5147  0.2306  0.0024  2 Al 2.45-2.48, 2 Cu 2.45-2.71, 1 Mg 2.74
Cu  0.7694  0.4853  0.4976  2 Al 2.45-2.48, 2 Cu 2.45-2.71, 1 Mg 2.74

=====

# 3
Compound: MgAl5Cu3
Source: the Alexandria database
Functional: PBE
Structure: optimized geometry

Computed properties:
* N(E_F): 4.72 states/eV per cell
* space group: Cmcm
* calculated formation energy: -0.05 eV/atom

Lattice parameters (Å, degrees): 7.0456 7.0456 14.2613 90.00 90.00 156.39
Last column: nearest neighbours and their distance in Å.
Positions (direct):
Mg  0.1730  0.8270  0.7500  6 Cu 2.85-2.95, 2 Mg 2.88
Mg  0.8270  0.1730  0.2500  6 Cu 2.85-2.95, 2 Mg 2.88
Al  0.0000  0.0000  0.0000  4 Cu 2.53, 6 Al 2.71-2.82
Al  0.0000  0.0000  0.5000  4 Cu 2.53, 6 Al 2.71-2.82
Al  0.1910  0.8090  0.0707  4 Cu 2.47-2.66
Al  0.1910  0.8090  0.4293  4 Cu 2.47-2.66
Al  0.4700  0.5300  0.6586  3 Cu 2.51-2.54, 3 Al 2.61-2.71
Al  0.4700  0.5300  0.8414  3 Cu 2.51-2.54, 3 Al 2.61-2.71
Al  0.5300  0.4700  0.1586  3 Cu 2.51-2.54, 3 Al 2.61-2.71
Al  0.5300  0.4700  0.3414  3 Cu 2.51-2.54, 3 Al 2.61-2.71
Al  0.8090  0.1910  0.5707  4 Cu 2.47-2.66
Al  0.8090  0.1910  0.9293  4 Cu 2.47-2.66
Cu  0.1492  0.8508  0.2500  6 Al 2.54-2.62, 2 Mg 2.85
Cu  0.3699  0.6301  0.0746  6 Al 2.47-2.66
Cu  0.3699  0.6301  0.4254  6 Al 2.47-2.66
Cu  0.6301  0.3699  0.5746  6 Al 2.47-2.66
Cu  0.6301  0.3699  0.9254  6 Al 2.47-2.66
Cu  0.8508  0.1492  0.7500  6 Al 2.54-2.62, 2 Mg 2.85